No. 1
La5NdHo | PBE | optimized geometry

Cell and atoms, written as POSCAR:
```
La5NdHo
1.0
6.1280 0.0000 1.4739
3.0640 8.9289 0.7369
-0.2939 0.0000 9.2033
La Nd Ho
10 2 2
Cartesian
4.0631 5.6111 8.8745
3.5635 2.7154 5.8163
1.1460 3.3178 3.5359
5.9075 2.5259 8.3763
2.1236 2.7154 9.4625
6.7744 6.2135 1.9516
2.9905 6.4030 3.0378
7.7520 5.6111 7.8782
5.3346 6.2135 5.5978
4.8350 3.3178 2.5396
0.0000 0.0000 0.0000
-0.1470 0.0000 4.6017
5.9075 8.7425 8.3763
2.9905 0.1864 3.0378
```

Computed properties:
As for the space group: C2/c (15). Its energy above the most stable polymorph in this dataset is 0.021 eV/atom. As for the volume: 507 Å³/cell. The calculation puts the formation energy from the elements at 0.152 eV/atom.

No. 2
V3CuTe | PBE | optimized geometry

Cell and atoms, written as POSCAR:
```
V3CuTe
1.0
-0.8635 0.3432 -4.4693
-3.7500 -2.5487 0.5288
-2.4555 3.7715 0.7640
Te Cu V
1 1 3
Cartesian
-3.5345 0.7830 -1.5882
0.0000 0.0000 0.0000
-1.8750 -1.2743 0.2644
-1.2278 1.8858 0.3820
-0.4317 0.1716 -2.2346
```

Computed properties:
As for the space group: Pm-3m (221). Its energy above the most stable polymorph in this dataset is 0.000 eV/atom. As for the volume: 95 Å³/cell. The calculation puts the formation energy (no corrections) at 0.930 eV/atom.

No. 3
Rb3YBr | PBE | optimized geometry

Cell and atoms, written as POSCAR:
```
Rb3YBr
1.0
-1.0395 6.6297 -3.5873
-2.2218 -3.7299 -6.2494
-7.2032 0.1937 2.4453
Y Br Rb
1 1 3
Cartesian
0.0000 0.0000 0.0000
-5.2322 1.5468 -3.6957
-1.1109 -1.8649 -3.1247
-3.6016 0.0969 1.2226
-0.5198 3.3149 -1.7937
```

Computed properties:
As for the space group: Pm-3m (221). Its energy above the most stable polymorph in this dataset is 0.494 eV/atom. As for the volume: 441 Å³/cell. The calculation puts the formation energy (no corrections) at 0.390 eV/atom.

No. 4
LiPaPt | PBE | optimized geometry

Cell and atoms, written as POSCAR:
```
LiPaPt
1.0
-2.1987 3.3575 1.7518
-5.6716 -4.3714 1.2598
5.1868 0.7686 5.0369
Pt Pa Li
3 3 3
Cartesian
-3.1515 -0.9793 3.3947
0.4680 0.7340 4.6537
0.0000 0.0000 0.0000
-2.5398 0.5685 1.1958
0.2179 1.8739 2.1551
-1.4610 -1.0091 5.5734
-3.3647 -2.5934 0.7474
3.0771 0.4560 2.9882
-0.1972 -1.4654 2.5611
```

Computed properties:
As for the space group: P-62m (189). Its energy above the most stable polymorph in this dataset is 0.329 eV/atom. As for the volume: 200 Å³/cell. The calculation puts the formation energy from the elements at -0.329 eV/atom.

No. 5
MgFeCo2 | PBE | optimized geometry

Cell and atoms, written as POSCAR:
```
MgFeCo2
1.0
3.9600 0.0000 0.0000
0.0000 2.5837 -0.0049
0.0000 1.0295 4.9547
Co Fe Mg
2 1 1
Cartesian
0.0000 0.1377 0.0975
0.0000 1.6689 2.3774
1.9800 0.9033 1.2374
1.9800 2.7099 3.7123
```

Computed properties:
As for the space group: P2/m (10). As for the volume: 51 Å³/cell. The calculation puts the formation energy from the elements at 0.135 eV/atom.

No. 6
Mg3CdRh | PBE | optimized geometry

Cell and atoms, written as POSCAR:
```
Mg3CdRh
1.0
4.7032 0.0000 0.0000
-2.3516 5.0325 -1.3628
0.0000 -0.3682 8.0530
Mg Cd Rh
6 2 2
Cartesian
0.0000 0.4279 2.4008
2.3516 4.2364 4.2895
0.0000 4.2037 -0.1682
2.3516 0.4606 6.8584
0.0000 2.2880 5.5629
2.3516 2.3762 1.1274
2.3516 1.3007 4.0529
0.0000 3.3636 2.6374
2.3516 3.1861 6.7253
0.0000 1.4782 -0.0351
```

Computed properties:
As for the space group: C2/m (12). Its energy above the most stable polymorph in this dataset is 0.012 eV/atom. As for the volume: 188 Å³/cell. The calculation puts the formation energy from the elements at -0.257 eV/atom.

No. 7
PmVRh2 | PBE | optimized geometry

Cell and atoms, written as POSCAR:
```
PmVRh2
1.0
4.1751 0.0000 0.0000
2.0875 3.6157 0.0000
2.0875 1.2052 5.1439
V Rh Pm
1 2 1
Cartesian
0.0000 0.0000 0.0000
6.2626 3.6157 4.4472
2.0875 1.2052 0.6966
4.1751 2.4105 2.5719
```

Computed properties:
As for the space group: R-3m (166). Its energy above the most stable polymorph in this dataset is 0.009 eV/atom. As for the volume: 78 Å³/cell. The calculation puts the formation energy from the elements at -0.376 eV/atom.

No. 8
Pu4GaRu | PBE | optimized geometry

Cell and atoms, written as POSCAR:
```
Pu4GaRu
1.0
-1.7485 -3.9270 4.2437
6.6019 -1.6679 1.1768
0.4067 4.9787 4.7748
Pu Ga Ru
8 2 2
Cartesian
1.4027 2.9477 3.3057
5.6059 0.3632 2.6459
2.3820 0.2745 1.2355
4.6266 3.0364 4.7161
4.8535 -0.1085 6.1984
0.4066 -0.5077 3.9968
3.4859 -2.1888 3.7099
1.7742 1.5726 6.4853
-0.4371 -0.9818 1.0609
-1.3114 -2.9453 3.1828
3.0672 0.6737 4.0367
2.1929 -1.2898 6.1585
```

Computed properties:
As for the space group: P4/mcc (124). Its energy above the most stable polymorph in this dataset is 0.000 eV/atom. As for the volume: 288 Å³/cell. The calculation puts the formation energy from the elements at -0.044 eV/atom.